No. 1
Density functional theory data (PBE-GGA) for a geometry-optimized Mg2AlPC structure.

Summary:
- Space-group type: P4/mmm, No. 123
- E_form: -0.13 eV per atom

Lattice parameters (Å, degrees): 4.3495 4.3495 3.9045 90.00 90.00 90.00
Closest atoms and distances in Å follow each position.
Element x y z (fractional)
C 0.0000 0.0000 0.0000  2 Al 1.95, 4 Mg 2.17
P 0.5000 0.5000 0.5000  8 Mg 2.92, 4 Al 3.08
Mg 0.0000 0.5000 0.0000  2 C 2.17
Mg 0.5000 0.0000 0.0000  2 C 2.17
Al 0.0000 0.0000 0.5000  2 C 1.95

No. 2
Density functional theory data (PBE-GGA) for a geometry-optimized MgAl2SbC structure.

Summary:
- Space-group type: P4/mmm, No. 123
- Electronic total energy: -0.3194 Ry per atom

Lattice parameters (Å, degrees): 4.2950 4.2950 4.4428 90.00 90.00 90.00
Closest atoms and distances in Å follow each position.
Element x y z (fractional)
C 0.0000 0.0000 0.0000  4 Al 2.15, 2 Mg 2.22
Sb 0.5000 0.5000 0.5000  4 Mg 3.04, 8 Al 3.09
Mg 0.0000 0.0000 0.5000  2 C 2.22
Al 0.0000 0.5000 0.0000  2 C 2.15
Al 0.5000 0.0000 0.0000  2 C 2.15

No. 3
Density functional theory data (PBE-GGA) for a geometry-optimized Mg2AlCSe structure.

Summary:
- Space-group type: P4/mmm, No. 123
- Electronic total energy: -0.3021 Ry per atom

Lattice parameters (Å, degrees): 4.5773 4.5773 3.8949 90.00 90.00 90.00
Closest atoms and distances in Å follow each position.
Element x y z (fractional)
C 0.0000 0.0000 0.0000  2 Al 1.95
Mg 0.0000 0.5000 0.0000  2 C 2.29
Mg 0.5000 0.0000 0.0000  2 C 2.29
Al 0.0000 0.0000 0.5000  2 C 1.95
Se 0.5000 0.5000 0.5000  8 Mg 3.01, 4 Al 3.24

No. 4
Density functional theory data (PBE-GGA) for a geometry-optimized MgAlTe2C structure.

Summary:
- Space-group type: P4/mmm, No. 123
- Electronic total energy: -0.2741 Ry per atom

Lattice parameters (Å, degrees): 5.2824 3.8361 5.2824 90.00 90.00 90.00
Closest atoms and distances in Å follow each position.
Element x y z (fractional)
C 0.0000 0.0000 0.0000  2 Al 1.92
Mg 0.5000 0.5000 0.5000  8 Te 3.26
Te 0.0000 0.0000 0.5000  2 C 2.64
Te 0.5000 0.0000 0.0000  2 C 2.64
Al 0.0000 0.5000 0.0000  2 C 1.92